Record 1
The following is a DFT calculation (PBE) of a relaxed CaLaDy2Sb4 crystal.

Results
SG ... No. 139
Total DFT energy (no corrections) ... -5.121 eV per atom
Total magnetic moment ... 0.0 μB/cell
Calculated volume ... 31.80 A^3/atom
E_form (uncorrected) ... -100.6 kJ per mole of atoms

Cell and atoms, written as extended XYZ:
```
8
Lattice="-3.169 3.169 6.335 3.169 -3.169 6.335 3.169 3.169 -6.335" Properties=species:S:1:pos:R:3 pbc="T T T"
Ca 0.000 0.000 0.000
La 0.000 0.000 6.335
Dy 3.169 0.000 3.168
Dy 0.000 3.169 3.168
Sb 3.169 0.000 0.000
Sb 0.000 0.000 3.159
Sb 0.000 3.169 0.000
Sb 0.000 0.000 9.511
```

***

Record 2
The following is a DFT calculation (PBE) of a relaxed CaLaDySc crystal.

Results
SG ... No. 216
Total DFT energy (no corrections) ... -4.319 eV per atom
Total magnetic moment ... 0.0 μB/cell
Calculated volume ... 32.86 A^3/atom
Energy of formation from the pure elements ... 0.147 eV per atom

Cell and atoms, written as extended XYZ:
```
4
Lattice="0.000 4.036 4.036 4.036 0.000 4.036 4.036 4.036 0.000" Properties=species:S:1:pos:R:3 pbc="T T T"
Ca 0.000 0.000 0.000
La 2.018 2.018 2.018
Dy 6.053 6.053 6.053
Sc 4.036 4.036 4.036
```

***

Record 3
The following is a DFT calculation (PBE) of a relaxed Ca2LaDySe4 crystal.

Results
SG ... No. 10
Total DFT energy (no corrections) ... -5.346 eV per atom
Total magnetic moment ... 0.0 μB/cell
Calculated volume ... 26.20 A^3/atom
E_form (uncorrected) ... -184.5 kJ per mole of atoms

Cell and atoms, written as extended XYZ:
```
8
Lattice="7.242 0.000 0.000 0.000 4.174 0.000 -2.404 0.000 6.934" Properties=species:S:1:pos:R:3 pbc="T T T"
Ca 0.000 0.000 0.000
Ca 3.621 2.087 0.000
La -1.202 2.087 3.467
Dy 2.419 0.000 3.467
Se 1.272 2.087 1.737
Se 0.076 0.000 5.242
Se 4.762 0.000 1.691
Se 3.566 2.087 5.197
```

***

Record 4
The following is a DFT calculation (PBE) of a relaxed CaLa3Dy3Se8 crystal.

Results
SG ... No. 166
Total DFT energy (no corrections) ... -5.837 eV per atom
Total magnetic moment ... 0.0 μB/cell
Calculated volume ... 27.63 A^3/atom
E_form (uncorrected) ... -187.1 kJ per mole of atoms

Cell and atoms, written as extended XYZ:
```
15
Lattice="4.154 2.398 6.932 -4.154 2.398 6.932 0.000 -4.797 6.932" Properties=species:S:1:pos:R:3 pbc="T T T"
Ca 0.000 0.000 0.000
La -4.154 0.000 10.398
La -2.077 1.199 3.466
La 2.077 1.199 3.466
Dy -2.077 -1.199 6.932
Dy -2.077 1.199 13.863
Dy 0.000 2.398 6.932
Se 0.000 -2.344 8.583
Se -2.030 1.172 8.583
Se 0.000 0.000 5.321
Se -2.030 -1.172 12.212
Se 2.030 1.172 8.583
Se 0.000 0.000 15.474
Se 2.030 -1.172 12.212
Se 0.000 2.344 12.212
```

***

Record 5
The following is a DFT calculation (PBE) of a relaxed CaLa2DySe4 crystal.

Results
SG ... No. 10
Total DFT energy (no corrections) ... -5.722 eV per atom
Total magnetic moment ... 0.0 μB/cell
Calculated volume ... 26.64 A^3/atom
E_form (uncorrected) ... -185.5 kJ per mole of atoms

Cell and atoms, written as extended XYZ:
```
8
Lattice="7.292 0.000 0.000 0.000 4.194 0.000 -2.404 0.000 6.968" Properties=species:S:1:pos:R:3 pbc="T T T"
Ca 0.000 0.000 0.000
La -1.202 2.097 3.484
La 2.444 0.000 3.484
Dy 3.646 2.097 0.000
Se 1.240 2.097 1.634
Se 0.032 0.000 5.349
Se 4.856 0.000 1.619
Se 3.648 2.097 5.334
```

***

Record 6
The following is a DFT calculation (PBE) of a relaxed CaLa2Sm6Dy3 crystal.

Results
SG ... No. 12
Total DFT energy (no corrections) ... -4.459 eV per atom
Total magnetic moment ... 0.0 μB/cell
Calculated volume ... 34.19 A^3/atom
Energy of formation from the pure elements ... 0.039 eV per atom

Cell and atoms, written as extended XYZ:
```
12
Lattice="3.157 -5.471 0.000 3.157 5.471 0.000 -2.109 0.000 11.878" Properties=species:S:1:pos:R:3 pbc="T T T"
Ca 0.000 0.000 0.000
La 3.157 1.826 0.000
La 3.157 -1.826 0.000
Sm 1.066 1.842 3.060
Sm 0.014 0.000 8.811
Sm 1.066 -1.842 3.060
Sm 3.139 1.842 8.818
Sm 4.191 0.000 3.067
Sm 3.139 -1.842 8.818
Dy 2.102 3.658 5.939
Dy 2.102 0.000 5.939
Dy 2.102 -3.658 5.939
```